Here is an optimized crystal structure of YBe2Cu from Alexandria via LeMat-Bulk. Energies are from GGA-PBEsol.

Output
Formation enthalpy at 0 K = 109 meV/atom
Energy relative to the lowest polymorph listed for this composition = 222 meV/atom
E = -4.6802 eV/atom

Unit cell a=2.962 b=2.962 c=6.307 alpha=90.00 beta=90.00 gamma=90.00
Element x y z (fractional)
1 Y 0.000 0.000 0.000
2 Be 0.500 0.500 0.325
3 Be 0.500 0.500 0.675
4 Cu 0.000 0.000 0.500

Here is an optimized crystal structure of Ca3ZrPb from Alexandria via LeMat-Bulk. Energies are from GGA-PBEsol.

Output
Formation enthalpy at 0 K = 799 meV/atom
E = -3.0988 eV/atom

Unit cell a=5.557 b=5.557 c=5.557 alpha=90.00 beta=90.00 gamma=90.00
Element x y z (fractional)
1 Ca 0.000 0.000 0.500
2 Ca 0.000 0.500 0.000
3 Ca 0.500 0.000 0.000
4 Zr 0.000 0.000 0.000
5 Pb 0.500 0.500 0.500

Here is an optimized crystal structure of GaReSbTe2 from Alexandria via LeMat-Bulk. Energies are from GGA-PBEsol.

Output
Formation energy without anion corrections = 1.555 eV/atom
E = -4.1016 eV/atom

Unit cell a=5.160 b=5.160 c=5.114 alpha=90.00 beta=90.00 gamma=90.00
Element x y z (fractional)
1 Ga 0.000 0.000 0.000
2 Re 0.500 0.500 0.500
3 Sb 0.000 0.000 0.500
4 Te 0.000 0.500 0.000
5 Te 0.500 0.000 0.000

Here is an optimized crystal structure of Y2MoRhN from Alexandria via LeMat-Bulk. Energies are from GGA-PBEsol.

Output
Formation energy without anion corrections = 1.338 eV/atom
E = -7.0770 eV/atom

Unit cell a=5.245 b=5.245 c=4.416 alpha=90.00 beta=90.00 gamma=90.00
Element x y z (fractional)
1 Y 0.000 0.500 0.000
2 Y 0.500 0.000 0.000
3 Mo 0.000 0.000 0.000
4 Rh 0.000 0.000 0.500
5 N 0.500 0.500 0.500

Here is an optimized crystal structure of Zn2Ag from Alexandria via LeMat-Bulk. Energies are from GGA-PBEsol.

Output
Formation enthalpy at 0 K = 12 meV/atom
E = -2.1465 eV/atom

Unit cell a=4.423 b=4.423 c=5.280 alpha=90.00 beta=90.00 gamma=120.00
Element x y z (fractional)
1 Zn 0.000 0.000 0.000
2 Zn 0.000 0.000 0.500
3 Zn 0.333 0.667 0.250
4 Zn 0.667 0.333 0.750
5 Ag 0.333 0.667 0.750
6 Ag 0.667 0.333 0.250

Here is an optimized crystal structure of KNaAs3 from Alexandria via LeMat-Bulk. Energies are from GGA-PBEsol.

Output
Formation enthalpy at 0 K = 582 meV/atom
E = -2.9889 eV/atom

Unit cell a=5.096 b=5.096 c=5.096 alpha=90.00 beta=90.00 gamma=90.00
Element x y z (fractional)
1 K 0.000 0.000 0.000
2 Na 0.500 0.500 0.500
3 As 0.000 0.500 0.500
4 As 0.500 0.000 0.500
5 As 0.500 0.500 0.000

Here is an optimized crystal structure of ZnSbAu2 from Alexandria via LeMat-Bulk. Energies are from GGA-PBEsol.

Output
Formation energy without anion corrections = 0.064 eV/atom
Energy relative to the lowest polymorph listed for this composition = 123 meV/atom
E = -3.4331 eV/atom

Unit cell a=3.760 b=3.760 c=19.910 alpha=90.00 beta=90.00 gamma=120.00
Element x y z (fractional)
1 Zn 0.000 0.000 0.000
2 Zn 0.333 0.667 0.667
3 Zn 0.667 0.333 0.333
4 Sb 0.000 0.000 0.762
5 Sb 0.333 0.667 0.429
6 Sb 0.667 0.333 0.095
7 Au 0.000 0.000 0.265
8 Au 0.000 0.000 0.514
9 Au 0.333 0.667 0.181
10 Au 0.333 0.667 0.932
11 Au 0.667 0.333 0.598
12 Au 0.667 0.333 0.847

Here is an optimized crystal structure of BaAs2Pd2 from Alexandria via LeMat-Bulk. Energies are from GGA-PBEsol.

Output
Formation enthalpy at 0 K = -699 meV/atom
E = -5.5547 eV/atom

Unit cell a=4.678 b=4.678 c=9.751 alpha=90.00 beta=90.00 gamma=90.00
Element x y z (fractional)
1 Ba 0.000 0.000 0.000
2 Ba 0.500 0.500 0.500
3 As 0.000 0.500 0.250
4 As 0.000 0.500 0.750
5 As 0.500 0.000 0.250
6 As 0.500 0.000 0.750
7 Pd 0.000 0.000 0.351
8 Pd 0.000 0.000 0.649
9 Pd 0.500 0.500 0.149
10 Pd 0.500 0.500 0.851

Here is an optimized crystal structure of BeCr2Os from Alexandria via LeMat-Bulk. Energies are from GGA-PBEsol.

Output
Formation enthalpy at 0 K = -54 meV/atom
E = -9.2289 eV/atom

Unit cell a=2.867 b=3.741 c=8.247 alpha=90.00 beta=90.00 gamma=90.00
Element x y z (fractional)
1 Be 0.000 0.000 0.000
2 Be 0.500 0.500 0.500
3 Cr 0.000 0.500 0.251
4 Cr 0.000 0.500 0.749
5 Cr 0.500 0.000 0.249
6 Cr 0.500 0.000 0.751
7 Os 0.000 0.000 0.500
8 Os 0.500 0.500 0.000

Here is an optimized crystal structure of BeRuO2F from Alexandria via LeMat-Bulk. Energies are from GGA-PBEsol.

Output
Formation energy without anion corrections = -0.941 eV/atom
E = -6.2602 eV/atom

Unit cell a=3.669 b=3.669 c=3.064 alpha=90.00 beta=90.00 gamma=90.00
Element x y z (fractional)
1 Be 0.000 0.000 0.000
2 Ru 0.500 0.500 0.500
3 O 0.000 0.500 0.000
4 O 0.500 0.000 0.000
5 F 0.000 0.000 0.500

Here is an optimized crystal structure of KTa2Rh from Alexandria via LeMat-Bulk. Energies are from GGA-PBEsol.

Output
Formation enthalpy at 0 K = 588 meV/atom
Energy relative to the lowest polymorph listed for this composition = 0 meV/atom
E = -8.0055 eV/atom

Unit cell a=2.808 b=3.891 c=8.426 alpha=90.00 beta=90.00 gamma=90.00
Element x y z (fractional)
1 K 0.000 0.000 0.000
2 Ta 0.500 0.500 0.348
3 Ta 0.500 0.500 0.652
4 Rh 0.000 0.000 0.500

Here is an optimized crystal structure of CaNiP2O7 from Alexandria via LeMat-Bulk. Energies are from GGA-PBEsol.

Output
Formation energy without anion corrections = -2.189 eV/atom
Energy relative to the lowest polymorph listed for this composition = 19 meV/atom
E = -7.3361 eV/atom

Unit cell a=7.217 b=8.602 c=8.963 alpha=90.00 beta=116.77 gamma=90.00
Element x y z (fractional)
1 Ca 0.233 0.047 0.395
2 Ca 0.233 0.453 0.895
3 Ca 0.767 0.547 0.105
4 Ca 0.767 0.953 0.605
5 Ni 0.272 0.071 0.882
6 Ni 0.272 0.429 0.382
7 Ni 0.728 0.571 0.618
8 Ni 0.728 0.929 0.118
9 P 0.024 0.746 0.463
10 P 0.024 0.754 0.963
11 P 0.459 0.727 0.267
12 P 0.459 0.773 0.767
13 P 0.541 0.227 0.233
14 P 0.541 0.273 0.733
15 P 0.976 0.246 0.037
16 P 0.976 0.254 0.537
17 O 0.043 0.105 0.644
18 O 0.043 0.395 0.144
19 O 0.059 0.603 0.379
20 O 0.059 0.897 0.879
21 O 0.112 0.222 0.949
22 O 0.112 0.278 0.449
23 O 0.245 0.691 0.104
24 O 0.245 0.809 0.604
25 O 0.384 0.236 0.304
26 O 0.384 0.264 0.804
27 O 0.448 0.624 0.854
28 O 0.448 0.876 0.354
29 O 0.488 0.581 0.375
30 O 0.488 0.919 0.875
31 O 0.512 0.081 0.125
32 O 0.512 0.419 0.625
33 O 0.552 0.124 0.646
34 O 0.552 0.376 0.146
35 O 0.616 0.736 0.196
36 O 0.616 0.764 0.696
37 O 0.755 0.191 0.396
38 O 0.755 0.309 0.896
39 O 0.888 0.722 0.551
40 O 0.888 0.778 0.051
41 O 0.941 0.103 0.121
42 O 0.941 0.397 0.621
43 O 0.957 0.605 0.856
44 O 0.957 0.895 0.356

Here is an optimized crystal structure of Tl2Zn2Sb from Alexandria via LeMat-Bulk. Energies are from GGA-PBEsol.

Output
Formation energy without anion corrections = 0.166 eV/atom
Energy relative to the lowest polymorph listed for this composition = 83 meV/atom
E = -2.4303 eV/atom

Unit cell a=3.479 b=3.479 c=20.093 alpha=90.00 beta=90.00 gamma=90.00
Element x y z (fractional)
1 Tl 0.000 0.000 0.114
2 Tl 0.000 0.000 0.886
3 Tl 0.500 0.500 0.386
4 Tl 0.500 0.500 0.614
5 Zn 0.000 0.500 0.250
6 Zn 0.000 0.500 0.750
7 Zn 0.500 0.000 0.250
8 Zn 0.500 0.000 0.750
9 Sb 0.000 0.000 0.500
10 Sb 0.500 0.500 0.000

Here is an optimized crystal structure of MnVP2O8F2 from Alexandria via LeMat-Bulk. Energies are from GGA-PBEsol.

Output
Formation energy without anion corrections = -2.207 eV/atom
E = -7.6951 eV/atom

Unit cell a=5.066 b=5.074 c=7.226 alpha=109.27 beta=106.32 gamma=93.24
Element x y z (fractional)
1 Mn 0.000 0.000 0.000
2 V 0.500 0.500 0.500
3 P 0.079 0.376 0.749
4 P 0.921 0.624 0.251
5 O 0.148 0.139 0.832
6 O 0.156 0.669 0.920
7 O 0.235 0.683 0.379
8 O 0.249 0.364 0.599
9 O 0.751 0.636 0.401
10 O 0.765 0.317 0.621
11 O 0.844 0.331 0.080
12 O 0.852 0.861 0.168
13 F 0.376 0.189 0.262
14 F 0.624 0.811 0.738

Here is an optimized crystal structure of Sc3Cr from Alexandria via LeMat-Bulk. Energies are from GGA-PBEsol.

Output
Formation enthalpy at 0 K = 277 meV/atom
E = -7.2376 eV/atom

Unit cell a=3.234 b=4.798 c=5.255 alpha=90.00 beta=90.00 gamma=90.00
Element x y z (fractional)
1 Sc 0.000 0.000 0.000
2 Sc 0.000 0.500 0.367
3 Sc 0.500 0.500 0.847
4 Cr 0.500 0.000 0.509

Here is an optimized crystal structure of LaBC2 from Alexandria via LeMat-Bulk. Energies are from GGA-PBEsol.

Output
Formation enthalpy at 0 K = 225 meV/atom
E = -7.6872 eV/atom

Unit cell a=4.214 b=4.214 c=10.163 alpha=90.00 beta=90.00 gamma=90.00
Element x y z (fractional)
1 La 0.000 0.250 0.375
2 La 0.000 0.750 0.625
3 La 0.500 0.250 0.125
4 La 0.500 0.750 0.875
5 B 0.000 0.250 0.875
6 B 0.000 0.750 0.125
7 B 0.500 0.250 0.625
8 B 0.500 0.750 0.375
9 C 0.000 0.000 0.000
10 C 0.000 0.500 0.000
11 C 0.250 0.250 0.750
12 C 0.250 0.750 0.250
13 C 0.500 0.000 0.500
14 C 0.500 0.500 0.500
15 C 0.750 0.250 0.750
16 C 0.750 0.750 0.250

Here is an optimized crystal structure of TlCd2Cl from Alexandria via LeMat-Bulk. Energies are from GGA-PBEsol.

Output
Formation energy without anion corrections = -0.154 eV/atom
Energy relative to the lowest polymorph listed for this composition = 33 meV/atom
E = -1.9119 eV/atom

Unit cell a=3.338 b=5.091 c=5.891 alpha=90.00 beta=90.00 gamma=90.00
Element x y z (fractional)
1 Tl 0.000 0.000 0.000
2 Cd 0.500 0.500 0.262
3 Cd 0.500 0.500 0.738
4 Cl 0.000 0.000 0.500

Here is an optimized crystal structure of HfCoO3 from Alexandria via LeMat-Bulk. Energies are from GGA-PBEsol.

Output
Formation energy without anion corrections = -2.250 eV/atom
E = -9.0473 eV/atom

Unit cell a=5.313 b=7.703 c=5.338 alpha=90.00 beta=90.00 gamma=90.00
Element x y z (fractional)
1 Hf 0.000 0.000 0.000
2 Hf 0.000 0.500 0.000
3 Hf 0.500 0.000 0.500
4 Hf 0.500 0.500 0.500
5 Co 0.028 0.250 0.480
6 Co 0.472 0.750 0.980
7 Co 0.528 0.250 0.020
8 Co 0.972 0.750 0.520
9 O 0.094 0.750 0.876
10 O 0.163 0.569 0.338
11 O 0.163 0.931 0.338
12 O 0.337 0.069 0.838
13 O 0.337 0.431 0.838
14 O 0.406 0.250 0.376
15 O 0.594 0.750 0.624
16 O 0.663 0.569 0.162
17 O 0.663 0.931 0.162
18 O 0.837 0.069 0.662
19 O 0.837 0.431 0.662
20 O 0.906 0.250 0.124

Here is an optimized crystal structure of ScRe2As from Alexandria via LeMat-Bulk. Energies are from GGA-PBEsol.

Output
Formation enthalpy at 0 K = 46 meV/atom
E = -9.5483 eV/atom

Unit cell a=3.674 b=3.674 c=9.443 alpha=90.00 beta=90.00 gamma=90.00
Element x y z (fractional)
1 Sc 0.000 0.000 0.000
2 Sc 0.500 0.500 0.500
3 Re 0.000 0.500 0.250
4 Re 0.000 0.500 0.750
5 Re 0.500 0.000 0.250
6 Re 0.500 0.000 0.750
7 As 0.000 0.000 0.500
8 As 0.500 0.500 0.000

Here is an optimized crystal structure of Re2HgMo from Alexandria via LeMat-Bulk. Energies are from GGA-PBEsol.

Output
Formation enthalpy at 0 K = 580 meV/atom
E = -9.1696 eV/atom

Unit cell a=3.953 b=3.953 c=8.007 alpha=90.00 beta=90.00 gamma=90.00
Element x y z (fractional)
1 Re 0.000 0.500 0.250
2 Re 0.000 0.500 0.750
3 Re 0.500 0.000 0.250
4 Re 0.500 0.000 0.750
5 Hg 0.000 0.000 0.000
6 Hg 0.500 0.500 0.500
7 Mo 0.000 0.000 0.500
8 Mo 0.500 0.500 0.000

Here is an optimized crystal structure of SnIrN2O from Alexandria via LeMat-Bulk. Energies are from GGA-PBEsol.

Output
Formation energy without anion corrections = 0.390 eV/atom
E = -6.8873 eV/atom

Unit cell a=3.817 b=3.817 c=4.229 alpha=90.00 beta=90.00 gamma=90.00
Element x y z (fractional)
1 Sn 0.000 0.000 0.000
2 Ir 0.500 0.500 0.500
3 N 0.000 0.500 0.500
4 N 0.500 0.000 0.500
5 O 0.500 0.500 0.000

Here is an optimized crystal structure of MgFeW2 from Alexandria via LeMat-Bulk. Energies are from GGA-PBEsol.

Output
Formation enthalpy at 0 K = 467 meV/atom
E = -9.1072 eV/atom

Unit cell a=3.189 b=4.210 c=4.395 alpha=90.00 beta=90.00 gamma=90.00
Element x y z (fractional)
1 Mg 0.000 0.000 0.000
2 Fe 0.500 0.500 0.000
3 W 0.000 0.500 0.500
4 W 0.500 0.000 0.500

Here is an optimized crystal structure of Y3CuGeS7 from Alexandria via LeMat-Bulk. Energies are from GGA-PBEsol.

Output
Formation energy without anion corrections = -1.511 eV/atom
E = -6.5463 eV/atom

Unit cell a=9.763 b=9.763 c=5.681 alpha=90.00 beta=90.00 gamma=120.00
Element x y z (fractional)
1 Y 0.131 0.774 0.000
2 Y 0.226 0.357 0.000
3 Y 0.357 0.131 0.500
4 Y 0.643 0.869 0.000
5 Y 0.774 0.643 0.500
6 Y 0.869 0.226 0.500
7 Cu 0.000 0.000 0.459
8 Cu 0.000 0.000 0.959
9 Ge 0.333 0.667 0.581
10 Ge 0.667 0.333 0.081
11 S 0.096 0.518 0.744
12 S 0.097 0.838 0.475
13 S 0.162 0.259 0.475
14 S 0.259 0.097 0.975
15 S 0.333 0.667 0.197
16 S 0.421 0.904 0.744
17 S 0.482 0.579 0.744
18 S 0.518 0.421 0.244
19 S 0.579 0.096 0.244
20 S 0.667 0.333 0.697
21 S 0.741 0.903 0.475
22 S 0.838 0.741 0.975
23 S 0.903 0.162 0.975
24 S 0.904 0.482 0.244

Here is an optimized crystal structure of Re2PtCl from Alexandria via LeMat-Bulk. Energies are from GGA-PBEsol.

Output
Formation energy without anion corrections = 0.487 eV/atom
Energy relative to the lowest polymorph listed for this composition = 0 meV/atom
E = -8.4223 eV/atom

Unit cell a=2.811 b=4.799 c=9.128 alpha=90.00 beta=90.00 gamma=90.00
Element x y z (fractional)
1 Re 0.000 0.000 0.000
2 Re 0.000 0.500 0.239
3 Re 0.500 0.000 0.239
4 Re 0.500 0.500 0.000
5 Pt 0.000 0.000 0.493
6 Pt 0.500 0.500 0.493
7 Cl 0.000 0.500 0.771
8 Cl 0.500 0.000 0.771